# 1
Material: CePr4Sm7
Method: DFT, PBE-GGA
State: optimized geometry

Calculated values
* energy relative to the elements: 0.029 eV/atom

a b c (Å): 3.6412 3.6412 35.7525
angles (deg): 90.00 90.00 120.00
Last column: nearest neighbours and their distance in Å.
Space group P-3m1 (No. 164)
Asymmetric unit:
Ce1 0.0000 0.0000 0.0000 (multiplicity 1)  6 Sm 3.51, 6 Ce 3.64
Pr1 0.3333 0.6667 0.1647 (multiplicity 2)  6 Pr 3.64, 6 Sm 3.66-3.72
Pr2 0.3333 0.6667 0.4158 (multiplicity 2)  6 Pr 3.64, 6 Sm 3.67-3.68
Sm1 0.0000 0.0000 0.2484 (multiplicity 2)  9 Sm 3.63-3.64, 3 Pr 3.66
Sm2 0.0000 0.0000 0.5000 (multiplicity 1)  6 Sm 3.64, 6 Pr 3.67
Sm3 0.3333 0.6667 0.6688 (multiplicity 2)  9 Sm 3.63-3.64, 3 Pr 3.68
Sm4 0.3333 0.6667 0.9213 (multiplicity 2)  3 Ce 3.51, 6 Sm 3.64, 3 Pr 3.72

***

# 2
Material: SrMo2P
Method: DFT, PBE-GGA
State: optimized geometry

Calculated values
* energy relative to the elements: 0.307 eV/atom

a b c (Å): 3.3599 3.3599 24.9670
angles (deg): 90.00 90.00 120.00
Last column: nearest neighbours and their distance in Å.
Space group R3m (No. 160, hexagonal axes)
Asymmetric unit:
Sr1 0.0000 0.0000 0.0000 (multiplicity 3)  3 P 2.98
Mo1 0.0000 0.0000 0.5144 (multiplicity 3)  3 P 2.48, 3 Mo 2.64
Mo2 0.0000 0.0000 0.7760 (multiplicity 3)  3 Mo 2.64
P1 0.0000 0.0000 0.2430 (multiplicity 3)  3 Mo 2.48

***

# 3
Material: Tb3Y2Ho4
Method: DFT, PBE-GGA
State: optimized geometry

Calculated values
* energy relative to the elements: 0.019 eV/atom

a b c (Å): 15.0483 5.0124 7.9308
angles (deg): 90.00 108.23 90.00
Last column: nearest neighbours and their distance in Å.
Space group C2/m (No. 12)
Asymmetric unit:
Tb1 0.0000 0.0000 0.0000 (multiplicity 2)  4 Y 3.54, 2 Tb 3.55, 6 Ho 3.55
Tb2 0.1120 0.0000 0.6671 (multiplicity 4)  6 Ho 3.53-3.54, 2 Tb 3.55-3.58, 4 Y 3.56
Y1 0.0559 0.5000 0.3324 (multiplicity 4)  5 Ho 3.54-3.56, 6 Tb 3.54-3.56, 1 Y 3.56
Ho1 0.1673 0.5000 0.9994 (multiplicity 4)  5 Ho 3.53-3.55, 5 Tb 3.54-3.55, 2 Y 3.54-3.56
Ho2 0.2224 0.0000 0.3325 (multiplicity 4)  5 Ho 3.53-3.56, 4 Tb 3.53-3.55, 3 Y 3.54-3.56

***

# 4
Material: Ac12Ge7Au
Method: DFT, PBE-GGA
State: optimized geometry

Calculated values
* energy relative to the elements: -0.397 eV/atom

a b c (Å): 16.1221 16.1221 9.6116
angles (deg): 90.00 90.00 120.00
Last column: nearest neighbours and their distance in Å.
Space group R-3 (No. 148, hexagonal axes)
Asymmetric unit:
Ac1 0.0220 0.4384 0.3193 (multiplicity 18)  3 Ge 3.17-3.20
Ac2 0.0447 0.1722 0.2721 (multiplicity 18)  4 Ge 3.19-3.37
Ge1 0.0000 0.0000 0.5000 (multiplicity 3)  6 Ac 3.32
Ge2 0.0476 0.1839 0.9224 (multiplicity 18)  1 Au 2.77, 2 Ge 3.05
Au1 0.0000 0.0000 0.0000 (multiplicity 3)  6 Ge 2.77

***

# 5
Material: MgIn3Re
Method: DFT, PBE-GGA
State: optimized geometry

Calculated values
* energy relative to the elements: 1.475 eV/atom

a b c (Å): 5.2896 5.2896 5.2896
angles (deg): 90.00 90.00 90.00
Last column: nearest neighbours and their distance in Å.
Space group Pm-3m (No. 221)
Asymmetric unit:
Mg1 0.0000 0.0000 0.0000 (multiplicity 1)  6 In 2.64
In1 0.0000 0.0000 0.5000 (multiplicity 3)  2 Mg 2.64
Re1 0.5000 0.5000 0.5000 (multiplicity 1)  12 In 3.74

***

# 6
Material: Th3B2PtRh9
Method: DFT, PBE-GGA
State: optimized geometry

Calculated values
* energy relative to the elements: -0.661 eV/atom

a b c (Å): 5.8265 5.8265 8.9044
angles (deg): 90.00 90.00 120.00
Last column: nearest neighbours and their distance in Å.
Space group P-3m1 (No. 164)
Asymmetric unit:
Th1 0.0000 0.0000 0.0000 (multiplicity 1)  12 Rh 2.91-2.94
Th2 0.3333 0.6667 0.6560 (multiplicity 2)  6 Rh 2.98
B1 0.3333 0.6667 0.1445 (multiplicity 2)  6 Rh 2.06-2.12
Pt1 0.0000 0.0000 0.5000 (multiplicity 1)  6 Rh 2.61
Rh1 0.0000 0.5000 0.0000 (multiplicity 3)  2 B 2.12
Rh2 0.1641 0.3281 0.2728 (multiplicity 6)  1 B 2.06

***

# 7
Material: SmAl10Fe2
Method: DFT, PBE-GGA
State: optimized geometry

Calculated values
* energy relative to the elements: -0.359 eV/atom

a b c (Å): 8.9583 10.1562 9.0154
angles (deg): 90.00 90.00 90.00
Last column: nearest neighbours and their distance in Å.
Space group Cmcm (No. 63)
Asymmetric unit:
Sm1 0.0000 0.1240 0.2500 (multiplicity 4)  14 Al 3.13-3.29, 4 Fe 3.43
Al1 0.0000 0.1605 0.5975 (multiplicity 8)  6 Al 2.56-2.81, 2 Fe 2.57
Al2 0.0000 0.3757 0.0502 (multiplicity 8)  6 Al 2.56-2.78, 2 Fe 2.62
Al3 0.1503 0.3711 0.7500 (multiplicity 8)  7 Al 2.59-2.88, 2 Fe 2.72
Al4 0.2274 0.3603 0.2500 (multiplicity 8)  2 Fe 2.52, 8 Al 2.59-2.81
Al5 0.2280 0.0000 0.0000 (multiplicity 8)  2 Fe 2.55, 8 Al 2.69-2.83
Fe1 0.2500 0.2500 0.0000 (multiplicity 8)  10 Al 2.52-2.72

***

# 8
Material: AcNdIn4
Method: DFT, PBE-GGA
State: optimized geometry

Calculated values
* energy relative to the elements: -0.412 eV/atom

a b c (Å): 8.7795 8.7795 8.7795
angles (deg): 90.00 90.00 90.00
Last column: nearest neighbours and their distance in Å.
Space group F-43m (No. 216)
Asymmetric unit:
Ac1 0.0000 0.0000 0.0000 (multiplicity 4)  12 In 3.64, 4 Nd 3.80
Nd1 0.2500 0.2500 0.2500 (multiplicity 4)  12 In 3.64, 4 Ac 3.80
In1 0.1248 0.1248 0.6248 (multiplicity 16)  6 In 3.10-3.11